Compound: CaNd2Ho3
Source: the Alexandria database
Functional: PBE
Structure: optimized geometry

```
data_CaNd2Ho3
_chemical_formula_sum 'Ca2 Nd4 Ho6'
_symmetry_space_group_name_H-M 'P -3 m 1'
_symmetry_Int_Tables_number 164
_symmetry_space_group_name_Hall '-P 3 2"'
_cell_length_a 6.7143
_cell_length_b 6.7143
_cell_length_c 10.9016
_cell_angle_alpha 90.00
_cell_angle_beta 90.00
_cell_angle_gamma 120.00
loop_
_atom_site_label
_atom_site_fract_x
_atom_site_fract_y
_atom_site_fract_z
_atom_site_occupancy
Ca1 0.3333 0.6667 0.4368 1
Nd1 0.0000 0.0000 0.0000 1
Nd2 0.0000 0.0000 0.5000 1
Nd3 0.3333 0.6667 0.0756 1
Ho1 0.1687 0.3373 0.7583 1
```

Output
- total moment (Bohr magnetons per cell) = 0.0
- total DFT energy (no corrections) (eV/atom) = -3.993
- DOS at the Fermi energy (states/eV per atom) = 1.36

Compound: CaNd8Ho6
Source: the Alexandria database
Functional: PBE
Structure: optimized geometry

```
data_CaNd8Ho6
_chemical_formula_sum 'Ca3 Nd24 Ho18'
_symmetry_space_group_name_H-M 'R -3'
_symmetry_Int_Tables_number 148
_symmetry_space_group_name_Hall '-R 3'
_cell_length_a 9.7839
_cell_length_b 9.7839
_cell_length_c 18.1965
_cell_angle_alpha 90.00
_cell_angle_beta 90.00
_cell_angle_gamma 120.00
loop_
_atom_site_label
_atom_site_fract_x
_atom_site_fract_y
_atom_site_fract_z
_atom_site_occupancy
Ca1 0.0000 0.0000 0.0000 1
Nd1 0.0000 0.0000 0.2396 1
Nd2 0.0460 0.7633 0.9020 1
Ho1 0.0261 0.7926 0.4098 1
```

Output
- total moment (Bohr magnetons per cell) = 0.0
- total DFT energy (no corrections) (eV/atom) = -4.334
- DOS at the Fermi energy (states/eV per atom) = 1.39

Compound: CaNd12Ho2
Source: the Alexandria database
Functional: PBE
Structure: optimized geometry

```
data_CaNd12Ho2
_chemical_formula_sum 'Ca4 Nd48 Ho8'
_symmetry_space_group_name_H-M 'C m m e'
_symmetry_Int_Tables_number 67
_symmetry_space_group_name_Hall '-C 2a 2'
_cell_length_a 7.1992
_cell_length_b 11.6823
_cell_length_c 25.4865
_cell_angle_alpha 90.00
_cell_angle_beta 90.00
_cell_angle_gamma 90.00
loop_
_atom_site_label
_atom_site_fract_x
_atom_site_fract_y
_atom_site_fract_z
_atom_site_occupancy
Ca1 0.0000 0.2500 0.9995 1
Nd1 0.0000 0.0012 0.0822 1
Nd2 0.0000 0.0243 0.5591 1
Nd3 0.2307 0.2500 0.4161 1
Nd4 0.2485 0.2500 0.8610 1
Nd5 0.2500 0.0000 0.2036 1
Nd6 0.2500 0.0000 0.3278 1
Ho1 0.0000 0.2500 0.2709 1
Ho2 0.0000 0.2500 0.7256 1
```

Output
- total moment (Bohr magnetons per cell) = 0.0
- total DFT energy (no corrections) (eV/atom) = -4.408
- DOS at the Fermi energy (states/eV per atom) = 1.41

Compound: CaNdHo14
Source: the Alexandria database
Functional: PBE
Structure: optimized geometry

```
data_CaNdHo14
_chemical_formula_sum 'Ca2 Nd2 Ho28'
_symmetry_space_group_name_H-M 'A m m 2'
_symmetry_Int_Tables_number 38
_symmetry_space_group_name_Hall 'A 2 -2'
_cell_length_a 11.2713
_cell_length_b 7.2421
_cell_length_c 12.5581
_cell_angle_alpha 90.00
_cell_angle_beta 90.00
_cell_angle_gamma 90.00
loop_
_atom_site_label
_atom_site_fract_x
_atom_site_fract_y
_atom_site_fract_z
_atom_site_occupancy
Ca1 0.0000 0.0000 0.0000 1
Nd1 0.0000 0.0000 0.4991 1
Ho1 0.0000 0.2488 0.2500 1
Ho2 0.2494 0.0000 0.3331 1
Ho3 0.2544 0.0000 0.8314 1
Ho4 0.2555 0.2474 0.5847 1
Ho5 0.5000 0.0000 0.0003 1
Ho6 0.5000 0.0000 0.5006 1
Ho7 0.5000 0.2498 0.2501 1
```

Output
- total moment (Bohr magnetons per cell) = 0.0
- total DFT energy (no corrections) (eV/atom) = -4.403
- DOS at the Fermi energy (states/eV per atom) = 1.59

Q: Which value of total DFT energy (no corrections) does entry 4 give?
A: -4.403 eV/atom

Q: What is the DOS at the Fermi energy in the fourth record?
A: 1.59 states/eV per atom